Density functional theory data (PBE) for a relaxed structure of CsKNp.

a b c (Å): 6.529 6.529 6.529
angles (deg): 60.00 60.00 60.00
Atoms (fractional coordinates):
Cs (0.000, 0.000, 0.000)
K (0.750, 0.750, 0.750)
Np (0.250, 0.250, 0.250)

---

Density functional theory data (PBE) for a relaxed structure of AcCuGe.

a b c (Å): 4.342 4.342 4.413
angles (deg): 90.00 90.00 120.00
Atoms (fractional coordinates):
Ac (0.000, 0.000, 0.000)
Cu (0.667, 0.333, 0.500)
Ge (0.333, 0.667, 0.500)

Calculated values
E above lowest polymorph	0	meV/atom

---

Density functional theory data (PBE) for a relaxed structure of FeAgIrPb.

a b c (Å): 4.597 4.597 4.597
angles (deg): 60.00 60.00 60.00
Atoms (fractional coordinates):
Fe (0.000, 0.000, 0.000)
Ag (0.250, 0.250, 0.250)
Ir (0.500, 0.500, 0.500)
Pb (0.750, 0.750, 0.750)

Calculated values
E above lowest polymorph	0	meV/atom

---

Density functional theory data (PBE) for a relaxed structure of KAgMoSe2S.

a b c (Å): 7.599 7.599 10.009
angles (deg): 90.00 90.00 150.13
Atoms (fractional coordinates):
K (0.249, 0.751, 0.750)
K (0.751, 0.249, 0.250)
Ag (0.043, 0.957, 0.250)
Ag (0.957, 0.043, 0.750)
Mo (0.500, 0.500, 0.000)
Mo (0.500, 0.500, 0.500)
Se (0.121, 0.879, 0.024)
Se (0.121, 0.879, 0.476)
Se (0.879, 0.121, 0.524)
Se (0.879, 0.121, 0.976)
S (0.436, 0.564, 0.250)
S (0.564, 0.436, 0.750)

---

Density functional theory data (PBE) for a relaxed structure of Zr4SnN3.

a b c (Å): 3.278 3.278 25.342
angles (deg): 90.00 90.00 120.00
Atoms (fractional coordinates):
Zr (0.000, 0.000, 0.154)
Zr (0.000, 0.000, 0.346)
Zr (0.000, 0.000, 0.654)
Zr (0.000, 0.000, 0.846)
Zr (0.333, 0.667, 0.054)
Zr (0.333, 0.667, 0.446)
Zr (0.667, 0.333, 0.554)
Zr (0.667, 0.333, 0.946)
Sn (0.333, 0.667, 0.250)
Sn (0.667, 0.333, 0.750)
N (0.000, 0.000, 0.000)
N (0.000, 0.000, 0.500)
N (0.333, 0.667, 0.604)
N (0.333, 0.667, 0.896)
N (0.667, 0.333, 0.104)
N (0.667, 0.333, 0.396)

---

Density functional theory data (PBE) for a relaxed structure of KOsAuS3.

a b c (Å): 8.431 8.431 9.378
angles (deg): 90.00 90.00 154.76
Atoms (fractional coordinates):
K (0.205, 0.795, 0.750)
K (0.795, 0.205, 0.250)
Os (0.500, 0.500, 0.000)
Os (0.500, 0.500, 0.500)
Au (0.129, 0.871, 0.250)
Au (0.871, 0.129, 0.750)
S (0.096, 0.904, 0.012)
S (0.096, 0.904, 0.488)
S (0.466, 0.534, 0.250)
S (0.534, 0.466, 0.750)
S (0.904, 0.096, 0.512)
S (0.904, 0.096, 0.988)

---

Density functional theory data (PBE) for a relaxed structure of Rb2Ag3Se4.

a b c (Å): 8.976 7.798 6.463
angles (deg): 77.39 57.97 44.64
Atoms (fractional coordinates):
Rb (0.158, 0.158, 0.842)
Rb (0.842, 0.842, 0.158)
Ag (0.000, 0.000, 0.500)
Ag (0.500, 0.500, 0.000)
Ag (0.500, 0.500, 0.500)
Se (0.204, 0.533, 0.467)
Se (0.467, 0.796, 0.204)
Se (0.533, 0.204, 0.796)
Se (0.796, 0.467, 0.533)

Calculated values
E above lowest polymorph	6	meV/atom

---

Density functional theory data (PBE) for a relaxed structure of NaTbHgTe3.

a b c (Å): 7.779 7.779 11.720
angles (deg): 90.00 90.00 147.21
Atoms (fractional coordinates):
Na (0.231, 0.769, 0.750)
Na (0.769, 0.231, 0.250)
Tb (0.000, 0.000, 0.000)
Tb (0.000, 0.000, 0.500)
Hg (0.466, 0.534, 0.250)
Hg (0.534, 0.466, 0.750)
Te (0.092, 0.908, 0.250)
Te (0.357, 0.643, 0.053)
Te (0.357, 0.643, 0.447)
Te (0.643, 0.357, 0.553)
Te (0.643, 0.357, 0.947)
Te (0.908, 0.092, 0.750)

Calculated values
E above lowest polymorph	0	meV/atom

---

Short version: calculated volume = 65.6 24.0 17.2 24.0 14.7 23.7 28.9 32.0 A^3/atom, in the order given.
Short version: ρ = 3451 8371 13617 4994 7404 6104 5182 6618 kg/m3, in the order given.
Short version: final energy = -3.33 -4.74 -5.41 -4.71 -9.29 -4.85 -3.09 -3.48 eV per atom, in the order given.